This record from the Alexandria database describes Fe2CuSF after structural relaxation. The functional is PBE+U.

Cell lengths 3.993, 5.147, 3.993 Å; angles 90.00, 90.00, 90.00 degrees
Sites, in units of the cell vectors:
Fe  0.000  0.000  0.500
Fe  0.500  0.000  0.000
F  0.000  0.000  0.000
S  0.000  0.500  0.000
Cu  0.500  0.500  0.500

Output
The value obtained for the total energy is -20.50 eV per cell. The space group is P4/mmm, No. 123. The density of states at the Fermi level comes out at 1.9 states/eV/f.u.